Computed, not measured: an optimized crystal structure of Tl2AgBi at the PBE level of DFT.

The structure in POSCAR format:
```
Tl2AgBi
1.0
-2.2334 2.2334 11.6163
2.2334 -2.2334 11.6163
2.2334 2.2334 -11.6163
Tl Ag Bi
4 2 2
direct
0.1170 0.6250 0.9920
0.3750 0.3670 0.4920
0.6330 0.1250 0.0080
0.8750 0.8830 0.5080
0.0000 0.0000 0.0000
0.7500 0.2500 0.5000
0.2500 0.7500 0.5000
0.5000 0.5000 0.0000
```

## Properties
Spin magnetization ... 0.00 μB per atom
Crystal system ... tetragonal
Symmetry ... No. 122
Distance to the lowest polymorph of the same formula ... 0.102 eV per atom
Calculated formation energy ... 164 meV/atom



Computed, not measured: an optimized crystal structure of NdDy3Hg at the PBE level of DFT.

The structure in POSCAR format:
```
NdDy3Hg
1.0
5.6559 -3.6942 0.0000
5.6559 3.6942 0.0000
-2.8241 0.0000 7.4447
Nd Dy Hg
2 6 2
direct
0.0585 0.0585 0.2360
0.9415 0.9415 0.7640
0.0901 0.5889 0.3582
0.4111 0.9099 0.6418
0.4387 0.4387 0.7560
0.5613 0.5613 0.2440
0.5889 0.0901 0.3582
0.9099 0.4111 0.6418
0.2614 0.2614 0.9996
0.7386 0.7386 0.0004
```

## Properties
Spin magnetization ... 0.00 μB per atom
Crystal system ... monoclinic
Symmetry ... No. 12
Distance to the lowest polymorph of the same formula ... 0.066 eV per atom
Calculated formation energy ... -106 meV/atom



Computed, not measured: an optimized crystal structure of AsBrCl at the PBE level of DFT.

The structure in POSCAR format:
```
AsBrCl
1.0
0.0000 3.3662 3.3662
3.3662 0.0000 3.3662
3.3662 3.3662 0.0000
As Br Cl
1 1 1
direct
0.0000 0.0000 0.0000
0.2500 0.2500 0.2500
0.7500 0.7500 0.7500
```

## Properties
Spin magnetization ... 0.00 μB per atom
Crystal system ... cubic
Symmetry ... No. 216
Energy relative to the elements, uncorrected ... 0.14 eV per atom
Distance to the lowest polymorph of the same formula ... 0.632 eV per atom



Repeat the first record exactly.
Computed, not measured: an optimized crystal structure of Tl2AgBi at the PBE level of DFT.

The structure in POSCAR format:
```
Tl2AgBi
1.0
-2.2334 2.2334 11.6163
2.2334 -2.2334 11.6163
2.2334 2.2334 -11.6163
Tl Ag Bi
4 2 2
direct
0.1170 0.6250 0.9920
0.3750 0.3670 0.4920
0.6330 0.1250 0.0080
0.8750 0.8830 0.5080
0.0000 0.0000 0.0000
0.7500 0.2500 0.5000
0.2500 0.7500 0.5000
0.5000 0.5000 0.0000
```

## Properties
Spin magnetization ... 0.00 μB per atom
Crystal system ... tetragonal
Symmetry ... No. 122
Distance to the lowest polymorph of the same formula ... 0.102 eV per atom
Calculated formation energy ... 164 meV/atom



Q: Look up the spin magnetization of the second one.
A: 0.00 μB per atom